# SmUC2

A geometry-optimized SmUC2 structure (PBE-GGA, the Alexandria database).

Results
E above lowest polymorph (meV per atom): 41
VASP energy (eV/atom): -8.772
Magnetic moment (μB/f.u.): 0.001
SG: I4_1/amd

a = 5.1617 Å, b = 5.1617 Å, c = 9.9233 Å
α = 90.00°, β = 90.00°, γ = 90.00°
With the nearest neighbours (Å) after each atom.
Fractional coordinates of all 16 atoms:
1 Sm 0.0000 0.2500 0.3750  6 C 2.60-2.76
2 Sm 0.0000 0.7500 0.6250  6 C 2.60-2.76
3 Sm 0.5000 0.2500 0.1250  6 C 2.60-2.76
4 Sm 0.5000 0.7500 0.8750  6 C 2.60-2.76
5 U 0.0000 0.2500 0.8750  2 C 2.20
6 U 0.0000 0.7500 0.1250  2 C 2.20
7 U 0.5000 0.2500 0.6250  2 C 2.20
8 U 0.5000 0.7500 0.3750  2 C 2.20
9 C 0.0000 0.2500 0.0969  1 U 2.20
10 C 0.0000 0.2500 0.6531  1 U 2.20
11 C 0.0000 0.7500 0.3469  1 U 2.20
12 C 0.0000 0.7500 0.9031  1 U 2.20
13 C 0.5000 0.2500 0.4031  1 U 2.20
14 C 0.5000 0.2500 0.8469  1 U 2.20
15 C 0.5000 0.7500 0.1531  1 U 2.20
16 C 0.5000 0.7500 0.5969  1 U 2.20

# LaEr4As5

A geometry-optimized LaEr4As5 structure (PBE-GGA, the Alexandria database).

Results
VASP energy (eV/atom): -6.157
Magnetic moment (μB/f.u.): 0.000
SG: C2/m

a = 7.1700 Å, b = 7.1700 Å, c = 10.1546 Å
α = 118.11°, β = 118.11°, γ = 33.61°
With the nearest neighbours (Å) after each atom.
Fractional coordinates of all 10 atoms:
1 La 0.0000 0.0000 0.0000  6 As 3.00-3.01
2 Er 0.2009 0.2009 0.7949  6 As 2.89-2.95
3 Er 0.4023 0.4023 0.6003  6 As 2.87-2.93
4 Er 0.5977 0.5977 0.3997  6 As 2.87-2.93
5 Er 0.7991 0.7991 0.2051  6 As 2.89-2.95
6 As 0.0000 0.0000 0.5000  6 Er 2.91
7 As 0.2034 0.2034 0.3089  5 Er 2.87-2.93, 1 La 3.00
8 As 0.3939 0.3939 0.1049  4 Er 2.89-2.95, 2 La 3.01
9 As 0.6061 0.6061 0.8951  4 Er 2.89-2.95, 2 La 3.01
10 As 0.7966 0.7966 0.6911  5 Er 2.87-2.93, 1 La 3.00

# Ca4CdPd2

A geometry-optimized Ca4CdPd2 structure (PBE-GGA, the Alexandria database).

Results
E above lowest polymorph (meV per atom): 4
VASP energy (eV/atom): -3.221
Magnetic moment (μB/f.u.): 0.000
SG: R-3m

a = 10.3742 Å, b = 10.3742 Å, c = 10.3742 Å
α = 27.03°, β = 27.03°, γ = 27.03°
With the nearest neighbours (Å) after each atom.
Fractional coordinates of all 7 atoms:
1 Ca 0.1114 0.1114 0.1114  3 Pd 3.03, 3 Cd 3.25
2 Ca 0.2981 0.2981 0.2981  4 Pd 3.01-3.23
3 Ca 0.7019 0.7019 0.7019  4 Pd 3.01-3.23
4 Ca 0.8886 0.8886 0.8886  3 Pd 3.03, 3 Cd 3.25
5 Cd 0.5000 0.5000 0.5000  2 Pd 2.82
6 Pd 0.4058 0.4058 0.4058  1 Cd 2.82, 6 Ca 3.01-3.03
7 Pd 0.5942 0.5942 0.5942  1 Cd 2.82, 6 Ca 3.01-3.03